# SmEr2Ni (PBE, relaxed)
# - Symmetry: R3m (160)
# - DOS(E_F): 13.26 states/eV/cell
# - VASP energy: -60.4 eV/cell
# - V: 27.7 Å³ per atom
data_SmEr2Ni
_chemical_formula_sum 'Sm3 Er6 Ni3'
_space_group_name_H-M_alt 'P 1'
_space_group_IT_number 1
_space_group_name_Hall 'P 1'
_cell_length_a 3.801
_cell_length_b 3.801
_cell_length_c 26.527
_cell_angle_alpha 90.00
_cell_angle_beta 90.00
_cell_angle_gamma 120.00
loop_
_atom_site_label
_atom_site_type_symbol
_atom_site_fract_x
_atom_site_fract_y
_atom_site_fract_z
Sm1 Sm 0.000 0.000 0.000
Sm2 Sm 0.333 0.667 0.667
Sm3 Sm 0.667 0.333 0.333
Er1 Er 0.000 0.000 0.227
Er2 Er 0.000 0.000 0.445
Er3 Er 0.333 0.667 0.111
Er4 Er 0.333 0.667 0.893
Er5 Er 0.667 0.333 0.560
Er6 Er 0.667 0.333 0.778
Ni1 Ni 0.000 0.000 0.836
Ni2 Ni 0.333 0.667 0.503
Ni3 Ni 0.667 0.333 0.170